The following is a PBE calculation of a relaxed structure of Er3MgFe, from Alexandria via LeMat-Bulk.

Cell and atoms, written as extended XYZ:
```
20
Lattice="8.975 0.000 0.000 0.000 3.520 0.000 0.000 0.000 16.227" Properties=species:S:1:pos:R:3 pbc="T T T"
Er 0.751 0.880 2.383
Er 1.843 0.880 8.078
Er 2.115 0.880 13.179
Er 2.372 2.640 5.066
Er 2.644 2.640 16.191
Er 3.736 2.640 10.496
Er 5.238 0.880 5.731
Er 6.330 0.880 0.035
Er 6.602 0.880 11.161
Er 6.860 2.640 3.048
Er 7.132 2.640 8.149
Er 8.223 2.640 13.844
Mg 0.449 2.640 10.714
Mg 4.038 0.880 2.600
Mg 4.937 2.640 13.626
Mg 8.525 0.880 5.513
Fe 0.459 0.880 15.661
Fe 4.028 2.640 7.547
Fe 4.946 0.880 8.679
Fe 8.515 2.640 0.566
```

## Properties
N(E_F)   5.63 states/eV/f.u.
Crystal system   orthorhombic
V   25.63 Å³/atom
Size of the total moment   1.38 μB per formula unit

***

The following is a PBE calculation of a relaxed structure of LaTh3N4, from Alexandria via LeMat-Bulk.

Cell and atoms, written as extended XYZ:
```
8
Lattice="5.199 0.000 0.000 0.000 5.199 0.000 0.000 0.000 5.199" Properties=species:S:1:pos:R:3 pbc="T T T"
La 0.000 0.000 0.000
Th 0.000 2.600 2.600
Th 2.600 0.000 2.600
Th 2.600 2.600 0.000
N 0.000 0.000 2.600
N 0.000 2.600 0.000
N 2.600 0.000 0.000
N 2.600 2.600 2.600
```

## Properties
N(E_F)   2.96 states/eV/f.u.
Crystal system   cubic
V   17.57 Å³/atom
Energy relative to the elements, uncorrected   -12.117 eV/f.u.
Size of the total moment   0.00 μB per formula unit

***

The following is a PBE calculation of a relaxed structure of MgBrCl2, from Alexandria via LeMat-Bulk.

Cell and atoms, written as extended XYZ:
```
4
Lattice="7.068 -1.775 0.000 7.068 1.775 0.000 -1.318 0.000 5.383" Properties=species:S:1:pos:R:3 pbc="T T T"
Mg 0.000 0.000 0.000
Br 4.598 0.000 3.512
Cl 5.320 0.000 0.858
Cl 8.650 0.000 0.376
```

## Properties
N(E_F)   1.53 states/eV/f.u.
Crystal system   monoclinic
V   33.76 Å³/atom
Energy relative to the elements, uncorrected   -4.445 eV/f.u.
Size of the total moment   0.10 μB per formula unit

***

The following is a PBE calculation of a relaxed structure of Li12Mg7Ga, from Alexandria via LeMat-Bulk.

Cell and atoms, written as extended XYZ:
```
20
Lattice="-5.129 5.129 5.129 5.129 -5.129 5.129 5.129 5.129 -5.129" Properties=species:S:1:pos:R:3 pbc="T T T"
Li 5.129 -1.481 2.564
Li 3.649 2.566 0.000
Li 6.610 2.566 0.000
Li 2.564 5.129 -1.481
Li 2.566 0.000 3.649
Li 5.129 1.481 2.564
Li 0.000 3.649 2.566
Li 2.564 5.129 1.481
Li 2.566 0.000 6.610
Li -1.481 2.564 5.129
Li 1.481 2.564 5.129
Li 0.000 6.610 2.566
Mg 2.565 2.565 -2.565
Mg 2.565 -2.565 2.565
Mg 5.129 0.000 0.000
Mg -2.565 2.565 2.565
Mg 0.000 5.129 0.000
Mg 0.000 0.000 5.129
Mg 2.565 2.565 2.565
Ga 0.000 0.000 0.000
```

## Properties
N(E_F)   5.71 states/eV/f.u.
Crystal system   cubic
V   26.99 Å³/atom
Size of the total moment   0.00 μB per formula unit

***

Number 1: distance to the lowest polymorph of the same formula 0 meV per atom, energy -4.7683 eV/atom. Number 2: distance to the lowest polymorph of the same formula 17 meV per atom, energy -9.0757 eV/atom. Number 3: distance to the lowest polymorph of the same formula 74 meV per atom, energy -2.8516 eV/atom. Number 4: distance to the lowest polymorph of the same formula 341 meV per atom, energy -1.5404 eV/atom.